Entry 1:
# LiNdAs

An optimized crystal structure of LiNdAs (PBE, Alexandria).

CIF file:
```
data_LiNdAs
_cell_length_a 6.706
_cell_length_b 6.706
_cell_length_c 6.706
_cell_angle_alpha 90.00
_cell_angle_beta 90.00
_cell_angle_gamma 90.00
_symmetry_space_group_name_H-M 'F -4 3 m'
_symmetry_Int_Tables_number 216
_symmetry_space_group_name_Hall 'F -4 2 3'
loop_
_atom_site_label
_atom_site_type_symbol
_atom_site_fract_x
_atom_site_fract_y
_atom_site_fract_z
Li1 Li 0.000 0.000 0.000
Nd1 Nd 0.000 0.000 0.500
As1 As 0.250 0.250 0.250
```

Entry 2:
# LiNdAs

An optimized crystal structure of LiNdAs (PBE, Alexandria).

CIF file:
```
data_LiNdAs
_cell_length_a 4.244
_cell_length_b 15.469
_cell_length_c 4.404
_cell_angle_alpha 90.00
_cell_angle_beta 90.00
_cell_angle_gamma 90.00
_symmetry_space_group_name_H-M 'C m c m'
_symmetry_Int_Tables_number 63
_symmetry_space_group_name_Hall '-C 2c 2'
loop_
_atom_site_label
_atom_site_type_symbol
_atom_site_fract_x
_atom_site_fract_y
_atom_site_fract_z
Li1 Li 0.000 0.000 0.000
Nd1 Nd 0.000 0.338 0.250
As1 As 0.000 0.148 0.250
```

Entry 3:
# LiNdAs

An optimized crystal structure of LiNdAs (PBE, Alexandria).

CIF file:
```
data_LiNdAs
_cell_length_a 4.2416
_cell_length_b 4.2416
_cell_length_c 4.1084
_cell_angle_alpha 90.00
_cell_angle_beta 90.00
_cell_angle_gamma 120.00
_symmetry_space_group_name_H-M 'P -6 m 2'
_symmetry_Int_Tables_number 187
_symmetry_space_group_name_Hall 'P -6 2'
loop_
_atom_site_label
_atom_site_type_symbol
_atom_site_fract_x
_atom_site_fract_y
_atom_site_fract_z
Li1 Li 0.0000 0.0000 0.0000
Nd1 Nd 0.6667 0.3333 0.5000
As1 As 0.3333 0.6667 0.0000
```

no.,ΔH_f (0 K) (meV per atom),total moment (μB/cell)
1,-863,0.0
2,-827,0.0
3,-1004,0.8